Below is a geometry-optimized GaPt2I structure, with properties calculated at the PBEsol level.

Calculated values
ΔE_f (raw) ... 1.1 eV per formula unit

Lattice parameters (Å, degrees): 6.586 6.586 6.586 90.00 90.00 90.00
Space group Fm-3m (No. 225)
Symmetry-distinct sites (fractional):
1 Ga 0.000 0.000 0.000 (multiplicity 4)
2 Pt 0.250 0.250 0.250 (multiplicity 8)
3 I 0.000 0.000 0.500 (multiplicity 4)